A plane-wave DFT calculation with PBE+U was carried out for a relaxed structure of Fe2NiIrO6.

The total DFT energy (no corrections) comes out at -6.194 eV/atom. The density of states at the Fermi level comes out at 5.27 states/eV/f.u.

The structure belongs to space group R3 (No. 146, hexagonal axes); the cell edges are 5.1057, 5.1057 and 13.7638 Å and the angles 90.00°, 90.00° and 120.00°. The inequivalent atoms are Fe at (0.0000, 0.0000, 0.0000), Fe at (0.0000, 0.0000, 0.4877), Ni at (0.0000, 0.0000, 0.1998), Ir at (0.0000, 0.0000, 0.6873), O at (0.0016, 0.3060, 0.0914) and O at (0.0169, 0.6495, 0.2623).